A relaxed CrIrRh crystal. Source: Alexandria via LeMat-Bulk, functional PBE.

```
6
Lattice="-1.354 1.354 11.453 1.354 -1.354 11.453 1.354 1.354 -11.453" Properties=species:S:1:pos:R:3 pbc="T T T"
Cr 0.000 0.000 2.935
Cr 0.000 0.000 19.972
Ir 0.000 0.000 6.764
Ir 0.000 0.000 16.143
Rh 0.000 0.000 10.182
Rh 0.000 0.000 12.725
```

Calculated values
energy above the lowest structure with this stoichiometry: 114 meV per atom
spin magnetization: 0.00 μB/f.u.
DFT formation energy: -0.031 eV per atom
volume: 42 Å³/f.u.
energy: -0.63527 Ry/atom

A relaxed AsPPb crystal. Source: Alexandria via LeMat-Bulk, functional PBE.

```
3
Lattice="0.000 3.346 3.346 3.346 0.000 3.346 3.346 3.346 0.000" Properties=species:S:1:pos:R:3 pbc="T T T"
As 0.000 0.000 0.000
P 5.019 5.019 5.019
Pb 3.346 3.346 3.346
```

Calculated values
energy above the lowest structure with this stoichiometry: 415 meV per atom
spin magnetization: 0.00 μB/f.u.
DFT formation energy: 0.490 eV per atom
volume: 75 Å³/f.u.
energy: -0.30133 Ry/atom

A relaxed Nd2Ni4Sn3Ge crystal. Source: Alexandria via LeMat-Bulk, functional PBE.

```
10
Lattice="4.389 0.000 0.000 0.000 4.389 0.000 0.000 0.000 10.077" Properties=species:S:1:pos:R:3 pbc="T T T"
Nd 0.000 2.195 2.512
Nd 2.195 0.000 7.566
Ni 0.000 0.000 0.000
Ni 0.000 2.195 6.238
Ni 2.195 0.000 3.840
Ni 2.195 2.195 0.000
Sn 0.000 2.195 8.769
Sn 2.195 0.000 1.308
Sn 2.195 2.195 5.039
Ge 0.000 0.000 5.039
```

Calculated values
spin magnetization: 0.00 μB/f.u.
DFT formation energy: -0.546 eV per atom
volume: 194 Å³/f.u.
energy: -0.40237 Ry/atom